First-principles (PBE with a Hubbard U) data for crystalline MgMnSiO2 at its relaxed geometry, as listed in Alexandria.

Values from the calculation:
Electronic total energy: -24.633 eV per cell

Structure (CIF):
```
data_MgMnSiO2
_space_group_name_H-M_alt 'P 4/m m m'
_space_group_IT_number 123
_space_group_name_Hall '-P 4 2'
_cell_length_a 3.718
_cell_length_b 3.718
_cell_length_c 4.872
_cell_angle_alpha 90.00
_cell_angle_beta 90.00
_cell_angle_gamma 90.00
loop_
_atom_site_label
_atom_site_type_symbol
_atom_site_fract_x
_atom_site_fract_y
_atom_site_fract_z
Mg1 Mg 0.000 0.000 0.000
Mn1 Mn 0.500 0.500 0.500
Si1 Si 0.500 0.500 0.000
O1 O 0.000 0.500 0.500
```